[1]
Entry from Alexandria: a relaxed structure of PaCoNi (PBE).

Calculated values
**Crystal system**: tetragonal
**Final energy**: -7.881 eV/atom
**Calculated volume**: 94.70 Å³/cell
**Formation energy**: -0.4197 eV per atom
**Excess energy over the best structure of this formula in the dataset**: 0.000 eV per atom

Lattice parameters (Å, degrees): 3.7147 3.7147 6.8624 90.00 90.00 90.00
Last column: nearest neighbours and their distance in Å.
Element x y z (fractional)
Pa1 0.7500 0.2500 0.3096  5 Co 2.64-2.91, 4 Ni 2.82
Ni1 0.7500 0.7500 0.0000  4 Co 2.60, 4 Ni 2.63, 4 Pa 2.82
Co1 0.2500 0.7500 0.2659  4 Ni 2.60, 5 Pa 2.64-2.91
Ni2 0.2500 0.2500 0.0000  4 Co 2.60, 4 Ni 2.63, 4 Pa 2.82
Pa2 0.2500 0.7500 0.6904  5 Co 2.64-2.91, 4 Ni 2.82
Co2 0.7500 0.2500 0.7341  4 Ni 2.60, 5 Pa 2.64-2.91


[2]
Entry from Alexandria: a relaxed structure of Pa2Co5Ni5 (PBE).

Calculated values
**Crystal system**: orthorhombic
**Final energy**: -7.236 eV/atom
**Calculated volume**: 161.69 Å³/cell
**Formation energy**: -0.2841 eV per atom

Lattice parameters (Å, degrees): 4.0107 4.7909 8.4146 90.00 90.00 90.00
Last column: nearest neighbours and their distance in Å.
Element x y z (fractional)
Pa1 0.0000 0.0000 0.5000  6 Ni 2.78-2.81
Co1 0.5000 0.2476 0.2534  3 Co 2.37-2.42, 5 Ni 2.43-2.44
Ni1 0.5000 0.0000 0.0000  4 Co 2.44, 4 Ni 2.44
Co2 0.5000 0.7524 0.7466  3 Co 2.37-2.42, 5 Ni 2.43-2.44
Ni2 0.0000 0.5000 0.3327  6 Co 2.43-2.45
Ni3 0.0000 0.0000 0.1657  2 Ni 2.44, 4 Co 2.44
Co3 0.5000 0.7524 0.2534  3 Co 2.37-2.42, 5 Ni 2.43-2.44
Pa2 0.0000 0.5000 0.0000  6 Ni 2.77-2.80
Co4 0.5000 0.2476 0.7466  3 Co 2.37-2.42, 5 Ni 2.43-2.44
Ni4 0.0000 0.5000 0.6673  6 Co 2.43-2.45
Ni5 0.0000 0.0000 0.8343  2 Ni 2.44, 4 Co 2.44
Co5 0.5000 0.5000 0.5000  4 Co 2.40, 4 Ni 2.45


[3]
Entry from Alexandria: a relaxed structure of Pa2CoNi (PBE).

Calculated values
**Crystal system**: monoclinic
**Final energy**: -8.329 eV/atom
**Calculated volume**: 146.59 Å³/cell
**Formation energy**: -0.3594 eV per atom

Lattice parameters (Å, degrees): 3.5801 6.0913 7.0124 106.55 90.00 90.00
Last column: nearest neighbours and their distance in Å.
Element x y z (fractional)
Co1 0.2500 0.3452 0.7135  2 Ni 2.50, 4 Pa 2.62-2.63
Pa1 0.7500 0.1906 0.9158  2 Co 2.62, 2 Ni 2.70
Pa2 0.7500 0.1978 0.4306  2 Co 2.63, 2 Ni 2.71
Ni1 0.7500 0.6443 0.7891  2 Co 2.50, 4 Pa 2.70-2.71
Ni2 0.2500 0.3557 0.2109  2 Co 2.50, 4 Pa 2.70-2.71
Co2 0.7500 0.6548 0.2865  2 Ni 2.50, 4 Pa 2.62-2.63
Pa3 0.2500 0.8022 0.5694  2 Co 2.63, 2 Ni 2.71
Pa4 0.2500 0.8094 0.0842  2 Co 2.62, 2 Ni 2.70


[4]
Entry from Alexandria: a relaxed structure of Pa2CoNi (PBE).

Calculated values
**Crystal system**: monoclinic
**Final energy**: -8.302 eV/atom
**Calculated volume**: 295.07 Å³/cell
**Formation energy**: -0.3321 eV per atom

Lattice parameters (Å, degrees): 5.3338 6.6662 8.2994 89.25 90.00 90.00
Last column: nearest neighbours and their distance in Å.
Element x y z (fractional)
Pa1 0.1488 0.8275 0.3401  4 Ni 2.77-3.03, 2 Co 2.77-2.78
Ni1 0.6683 0.0022 0.3814  1 Ni 2.66, 6 Pa 2.76-2.89, 2 Co 2.79-2.84
Pa2 0.1536 0.8287 0.9018  4 Co 2.66-2.80, 3 Ni 2.76-2.83
Ni2 0.1683 0.4978 0.1186  1 Ni 2.66, 6 Pa 2.76-2.89, 2 Co 2.79-2.84
Ni3 0.3317 0.9978 0.6186  1 Ni 2.66, 6 Pa 2.76-2.89, 2 Co 2.79-2.84
Pa3 0.3512 0.3275 0.8401  4 Ni 2.77-3.03, 2 Co 2.77-2.78
Pa4 0.8512 0.1725 0.6599  4 Ni 2.77-3.03, 2 Co 2.77-2.78
Co1 0.6427 0.9010 0.8784  6 Pa 2.66-2.80, 2 Ni 2.79-2.84, 1 Co 2.87
Pa5 0.3464 0.3287 0.4018  4 Co 2.66-2.80, 3 Ni 2.76-2.83
Co2 0.1427 0.5990 0.6216  6 Pa 2.66-2.80, 2 Ni 2.79-2.84, 1 Co 2.87
Pa6 0.6488 0.6725 0.1599  4 Ni 2.77-3.03, 2 Co 2.77-2.78
Pa7 0.6536 0.6713 0.5982  4 Co 2.66-2.80, 3 Ni 2.76-2.83
Co3 0.8573 0.4010 0.3784  6 Pa 2.66-2.80, 2 Ni 2.79-2.84, 1 Co 2.87
Ni4 0.8317 0.5022 0.8814  1 Ni 2.66, 6 Pa 2.76-2.89, 2 Co 2.79-2.84
Pa8 0.8464 0.1713 0.0982  4 Co 2.66-2.80, 3 Ni 2.76-2.83
Co4 0.3573 0.0990 0.1216  6 Pa 2.66-2.80, 2 Ni 2.79-2.84, 1 Co 2.87